1.
The following is a DFT calculation (PBE-GGA) of BaEuInAu after structural relaxation.

a b c (Å): 5.674 5.674 5.674
angles (deg): 60.00 60.00 60.00
Atoms (fractional coordinates):
Eu1 0.750 0.750 0.750
Au1 0.000 0.000 0.000
Ba1 0.250 0.250 0.250
In1 0.500 0.500 0.500

Properties
Its density of states at the Fermi level is 2.49 states/eV per atom. For the volume, the calculation gives 32.29 Å³ per atom. The value obtained for the final energy is -0.185 hartree per atom. The space-group type is No. 216.

2.
The following is a DFT calculation (PBE-GGA) of Tl5Os after structural relaxation.

a b c (Å): 3.333 3.333 14.202
angles (deg): 90.00 90.00 90.00
Atoms (fractional coordinates):
Tl1 0.000 0.000 0.620
Tl2 0.500 0.500 0.803
Tl3 0.000 0.000 0.000
Tl4 0.500 0.500 0.197
Tl5 0.000 0.000 0.380
Os1 0.500 0.500 0.500

Properties
Its density of states at the Fermi level is 0.74 states/eV per atom. For the volume, the calculation gives 26.29 Å³ per atom. The value obtained for the final energy is -0.124 hartree per atom. The space-group type is No. 123. The offset from the most stable computed form comes out at 0.039 eV/atom.

3.
The following is a DFT calculation (PBE-GGA) of DyZn4Ga2 after structural relaxation.

a b c (Å): 4.059 4.111 7.585
angles (deg): 105.72 90.00 90.00
Atoms (fractional coordinates):
Dy1 0.000 0.000 0.000
Zn1 0.500 0.815 0.629
Zn2 0.000 0.690 0.381
Zn3 0.500 0.185 0.371
Zn4 0.000 0.310 0.619
Ga1 0.500 0.583 0.167
Ga2 0.500 0.417 0.833

Properties
Its density of states at the Fermi level is 0.25 states/eV per atom. For the volume, the calculation gives 17.41 Å³ per atom. The value obtained for the final energy is -0.093 hartree per atom. The space-group type is No. 65.

4.
The following is a DFT calculation (PBE-GGA) of BaSn2Hg3 after structural relaxation.

a b c (Å): 5.156 9.540 8.490
angles (deg): 115.28 90.00 105.68
Atoms (fractional coordinates):
Ba1 0.856 0.712 0.883
Ba2 0.144 0.288 0.117
Sn1 0.492 0.984 0.822
Sn2 0.508 0.016 0.178
Sn3 0.821 0.643 0.330
Sn4 0.179 0.357 0.670
Hg1 0.317 0.635 0.552
Hg2 0.986 0.972 0.653
Hg3 0.661 0.323 0.846
Hg4 0.339 0.677 0.154
Hg5 0.014 0.028 0.347
Hg6 0.683 0.365 0.448

Properties
Its density of states at the Fermi level is 0.38 states/eV per atom. For the volume, the calculation gives 30.03 Å³ per atom. The value obtained for the final energy is -0.078 hartree per atom. The space-group type is No. 12.

5.
The following is a DFT calculation (PBE-GGA) of BaLa2N after structural relaxation.

a b c (Å): 7.783 7.783 7.782
angles (deg): 60.00 60.00 90.00
Atoms (fractional coordinates):
N1 0.500 0.500 0.000
N2 0.250 0.750 0.500
Ba1 0.000 0.000 0.000
Ba2 0.750 0.250 0.500
La1 0.376 0.125 0.250
La2 0.374 0.625 0.250
La3 0.375 0.624 0.750
La4 0.875 0.626 0.750

Properties
Its density of states at the Fermi level is 1.40 states/eV per atom. For the volume, the calculation gives 41.66 Å³ per atom. The value obtained for the final energy is -0.204 hartree per atom. The space-group type is No. 122.

6.
The following is a DFT calculation (PBE-GGA) of Sr2AcPuN4 after structural relaxation.

a b c (Å): 3.721 6.486 6.418
angles (deg): 110.05 90.00 90.00
Atoms (fractional coordinates):
Sr1 0.500 0.000 0.500
Sr2 0.000 0.500 0.500
Ac1 0.500 0.500 0.000
Pu1 0.000 0.000 0.000
N1 0.500 0.225 0.218
N2 0.500 0.775 0.782
N3 0.000 0.208 0.804
N4 0.000 0.792 0.196

Properties
Its density of states at the Fermi level is 0.78 states/eV per atom. For the volume, the calculation gives 18.19 Å³ per atom. The value obtained for the final energy is -0.287 hartree per atom. The space-group type is No. 10.

7.
The following is a DFT calculation (PBE-GGA) of Li2Hf2Mg after structural relaxation.

a b c (Å): 7.875 7.875 3.121
angles (deg): 90.00 90.00 90.00
Atoms (fractional coordinates):
Mg1 0.000 0.000 0.000
Mg2 0.500 0.500 0.000
Hf1 0.150 0.650 0.500
Hf2 0.650 0.850 0.500
Hf3 0.850 0.350 0.500
Hf4 0.350 0.150 0.500
Li1 0.354 0.854 0.000
Li2 0.854 0.646 0.000
Li3 0.646 0.146 0.000
Li4 0.146 0.354 0.000

Properties
Its density of states at the Fermi level is 1.01 states/eV per atom. For the volume, the calculation gives 19.36 Å³ per atom. The value obtained for the final energy is -0.170 hartree per atom. The space-group type is No. 127. The offset from the most stable computed form comes out at 0.000 eV/atom.

8.
The following is a DFT calculation (PBE-GGA) of EuGdDyEr after structural relaxation.

a b c (Å): 5.732 5.732 5.732
angles (deg): 60.00 60.00 60.00
Atoms (fractional coordinates):
Gd1 0.000 0.000 0.000
Eu1 0.500 0.500 0.500
Dy1 0.750 0.750 0.750
Er1 0.250 0.250 0.250

Properties
Its density of states at the Fermi level is 1.87 states/eV per atom. For the volume, the calculation gives 33.28 Å³ per atom. The value obtained for the final energy is -0.302 hartree per atom. The space-group type is No. 216.

9.
The following is a DFT calculation (PBE-GGA) of RbLiCd2Cu after structural relaxation.

a b c (Å): 5.205 5.205 5.240
angles (deg): 90.00 90.00 90.00
Atoms (fractional coordinates):
Li1 0.000 0.000 0.500
Cu1 0.000 0.000 0.000
Rb1 0.500 0.500 0.500
Cd1 0.000 0.500 0.000
Cd2 0.500 0.000 0.000

Properties
Its density of states at the Fermi level is 0.49 states/eV per atom. For the volume, the calculation gives 28.39 Å³ per atom. The value obtained for the final energy is -0.063 hartree per atom. The space-group type is No. 123.

10.
The following is a DFT calculation (PBE-GGA) of Na2NbOsO6 after structural relaxation.

a b c (Å): 3.910 5.589 5.589
angles (deg): 90.00 90.00 90.00
Atoms (fractional coordinates):
Na1 0.145 0.500 0.000
Na2 0.145 0.000 0.500
Nb1 0.645 0.000 0.000
Os1 0.645 0.500 0.500
O1 0.645 0.253 0.253
O2 0.645 0.253 0.747
O3 0.145 0.500 0.500
O4 0.145 0.000 0.000
O5 0.645 0.747 0.747
O6 0.645 0.747 0.253

Properties
Its density of states at the Fermi level is 0.19 states/eV per atom. For the volume, the calculation gives 12.21 Å³ per atom. The value obtained for the final energy is -0.264 hartree per atom. The space-group type is No. 123.

11.
The following is a DFT calculation (PBE-GGA) of CsTmMn2Te4 after structural relaxation.

a b c (Å): 7.274 7.936 7.937
angles (deg): 54.50 63.10 63.11
Atoms (fractional coordinates):
Cs1 0.000 0.005 0.995
Tm1 0.500 0.501 0.499
Mn1 0.250 0.248 0.252
Mn2 0.750 0.748 0.752
Te1 0.460 0.128 0.542
Te2 0.128 0.869 0.457
Te3 0.872 0.543 0.131
Te4 0.540 0.458 0.872

Properties
For the volume, the calculation gives 40.14 Å³ per atom. The value obtained for the final energy is -0.185 hartree per atom. The space-group type is No. 5.

12.
The following is a DFT calculation (PBE-GGA) of BaBeS2 after structural relaxation.

a b c (Å): 6.491 5.341 6.590
angles (deg): 90.04 119.51 90.00
Atoms (fractional coordinates):
Ba1 0.886 0.121 0.836
Ba2 0.504 0.621 0.071
Be1 0.322 0.871 0.454
Be2 0.322 0.371 0.454
S1 0.278 0.121 0.680
S2 0.051 0.621 0.227
S3 0.612 0.621 0.637
S4 0.429 0.121 0.270

Properties
Its density of states at the Fermi level is 0.00 states/eV per atom. For the volume, the calculation gives 24.85 Å³ per atom. The value obtained for the final energy is -0.183 hartree per atom. The space-group type is No. 40.